# 1
Here is La7CoI12 at its PBEsol-relaxed geometry from the Alexandria database. Energies are from SCAN.

Computed properties:
formation energy without anion corrections	-1.443	eV per atom
Fermi-level density of states	9.19	states/eV/cell

Cell lengths 9.834, 9.834, 9.834 Å; angles 107.62, 107.62, 107.62 degrees
Sites, in units of the cell vectors:
La 0.000 0.000 0.000
La 0.187 0.390 0.462
La 0.390 0.462 0.187
La 0.462 0.187 0.390
La 0.535 0.810 0.607
La 0.607 0.535 0.810
La 0.810 0.607 0.535
Co 0.499 0.499 0.499
I 0.015 0.347 0.102
I 0.102 0.015 0.347
I 0.181 0.729 0.575
I 0.268 0.423 0.816
I 0.347 0.102 0.015
I 0.423 0.816 0.268
I 0.575 0.181 0.729
I 0.652 0.896 0.982
I 0.729 0.575 0.181
I 0.816 0.268 0.423
I 0.896 0.982 0.652
I 0.982 0.652 0.896

# 2
Here is LaCo3I at its PBEsol-relaxed geometry from the Alexandria database. Energies are from SCAN.

Computed properties:
formation energy without anion corrections	1.628	eV per atom
Fermi-level density of states	2.26	states/eV/cell

Cell lengths 4.611, 4.611, 4.611 Å; angles 90.00, 90.00, 90.00 degrees
Sites, in units of the cell vectors:
La 0.000 0.000 0.000
Co 0.000 0.000 0.500
Co 0.000 0.500 0.000
Co 0.500 0.000 0.000
I 0.500 0.500 0.500

# 3
Here is LaCo2I2 at its PBEsol-relaxed geometry from the Alexandria database. Energies are from SCAN.

Computed properties:
formation energy without anion corrections	0.104	eV per atom
Fermi-level density of states	1.93	states/eV/cell

Cell lengths 6.939, 6.939, 6.939 Å; angles 146.50, 146.50, 48.10 degrees
Sites, in units of the cell vectors:
La 0.000 0.000 0.000
Co 0.250 0.750 0.500
Co 0.750 0.250 0.500
I 0.366 0.366 0.000
I 0.634 0.634 0.000

Number 1: raw total energy -2.899 Ry per atom. Number 2: raw total energy -1.817 Ry per atom. Number 3: raw total energy -2.215 Ry per atom.